# 1
Compound: NdDyMgCu
Source: Alexandria via LeMat-Bulk
Functional: PBE
Structure: relaxed

The structure in POSCAR format:
```
NdDyMgCu
1.0
5.2128 0.0000 0.0000
2.6064 4.5144 0.0000
2.6064 1.5048 4.2562
Nd Dy Mg Cu
1 1 1 1
Cartesian
5.2128 3.0096 2.1281
0.0000 0.0000 0.0000
7.8192 4.5144 3.1922
2.6064 1.5048 1.0641
```

Summary:
The density of states at the Fermi level comes out at 4.502 states/eV per cell. Its space group is F-43m (216). The calculated volume is 25.0 Å³/atom. The electronic total energy comes out at -3.812 eV per atom. Its total magnetic moment is 0.0 μB/cell. Its formation energy is -0.05 eV per atom.

***

# 2
Compound: TiRuW2
Source: Alexandria via LeMat-Bulk
Functional: PBE
Structure: relaxed

The structure in POSCAR format:
```
TiRuW2
1.0
-2.3978 1.1960 3.5281
-3.7136 -2.1980 1.0028
-0.1316 -2.6105 3.5771
Ru W Ti
1 2 1
Cartesian
-3.1215 -1.8062 4.0540
-4.6822 -2.7094 6.0810
-1.5607 -0.9031 2.0270
0.0000 0.0000 0.0000
```

Summary:
The density of states at the Fermi level comes out at 4.536 states/eV per cell. Its space group is Fm-3m (225). The calculated volume is 15.4 Å³/atom. The electronic total energy comes out at -10.738 eV per atom. Its total magnetic moment is 0.0 μB/cell. The calculation puts the distance to the lowest polymorph of the same formula at 0.0 meV per atom. Its formation energy is 0.03 eV per atom.

***

# 3
Compound: LiDy6Se5
Source: Alexandria via LeMat-Bulk
Functional: PBE
Structure: relaxed

The structure in POSCAR format:
```
LiDy6Se5
1.0
6.8205 0.0000 0.0000
-3.4102 5.9067 0.0000
0.0000 0.0000 14.2937
Dy Li Se
12 2 10
Cartesian
4.5916 0.0000 1.6358
-2.2958 3.9765 1.6358
1.1144 1.9303 5.5110
2.2289 0.0000 8.7827
-2.2958 3.9765 5.5110
2.2289 0.0000 12.6578
-1.1144 1.9303 12.6578
2.2958 3.9765 12.6578
-1.1144 1.9303 8.7827
4.5916 0.0000 5.5110
1.1144 1.9303 1.6358
2.2958 3.9765 8.7827
0.0000 0.0000 3.5734
0.0000 0.0000 10.7203
0.0000 3.9378 0.0000
2.2228 3.8499 3.5734
2.3750 0.0000 3.5734
4.4455 0.0000 10.7203
3.4102 1.9689 0.0000
0.0000 3.9378 7.1468
-2.2228 3.8499 10.7203
3.4102 1.9689 7.1468
-1.1875 2.0568 3.5734
1.1875 2.0568 10.7203
```

Summary:
The density of states at the Fermi level comes out at 13.598 states/eV per cell. Its space group is P6_3/mcm (193). The calculated volume is 24.0 Å³/atom. The electronic total energy comes out at -5.296 eV per atom. Its total magnetic moment is 0.0 μB/cell. As for the uncorrected formation energy: -1384 meV per atom.

***

# 4
Compound: NbFeS
Source: Alexandria via LeMat-Bulk
Functional: PBE
Structure: relaxed

The structure in POSCAR format:
```
NbFeS
1.0
4.4916 0.0000 -0.0535
0.0000 3.5545 0.0000
-2.7126 0.0000 5.4991
Fe S Nb
2 2 2
Cartesian
3.0763 0.0000 0.7078
1.7200 1.7772 3.4574
1.6988 0.0000 4.5804
3.0551 1.7772 1.8308
-0.4935 0.0000 3.4800
0.8628 1.7772 0.7305
```

Summary:
The density of states at the Fermi level comes out at 7.774 states/eV per cell. Its space group is Cm (8). The calculated volume is 14.5 Å³/atom. The electronic total energy comes out at -7.846 eV per atom. Its total magnetic moment is 0.0 μB/cell. The calculation puts the distance to the lowest polymorph of the same formula at 118.8 meV per atom. As for the uncorrected formation energy: -293 meV per atom.